(1)
This record from Alexandria describes an optimized crystal structure of NaTePd3. The functional is GGA-PBE.

Structure (POSCAR):
```
NaTePd3
1.0
5.0213 0.0000 0.0000
0.0000 5.0213 0.0000
0.0000 0.0000 5.0213
Na Te Pd
1 1 3
Cartesian
0.0000 0.0000 0.0000
2.5107 2.5107 2.5107
0.0000 2.5107 2.5107
2.5107 0.0000 2.5107
2.5107 2.5107 0.0000
```

Properties
Size of the total moment ... 0.0 μB/f.u.
Polymorph energy (0 for the lowest one) ... 264 meV/atom
Energy relative to the elements, uncorrected ... -0.02 eV/atom



(2)
This record from Alexandria describes an optimized crystal structure of NaTe8Pd4. The functional is GGA-PBE.

Structure (POSCAR):
```
NaTe8Pd4
1.0
0.0000 5.8231 5.8231
5.8231 0.0000 5.8231
5.8231 5.8231 0.0000
Na Te Pd
1 8 4
Cartesian
0.0000 0.0000 0.0000
4.5468 4.5468 4.5468
7.0994 7.0994 4.5468
7.0994 4.5468 7.0994
9.9748 7.4945 7.4945
4.5468 7.0994 7.0994
7.4945 9.9748 7.4945
7.4945 7.4945 9.9748
9.9748 9.9748 9.9748
7.2582 4.3880 4.3880
4.3880 7.2582 4.3880
4.3880 4.3880 7.2582
7.2582 7.2582 7.2582
```

Properties
Size of the total moment ... 0.0 μB/f.u.
Energy relative to the elements, uncorrected ... -0.28 eV/atom



| no. | theoretical density (kg/m³) |
| --- | --- |
| 1 | 6162 |
| 2 | 6179 |